# 1
{"formula": "CdHg2Ir", "functional": "PBE-GGA", "state": "optimized geometry", "lattice": [[3.101, 0.000, 0.000], [0.000, 3.101, 0.000], [0.000, 0.000, 8.532]], "species": ["Ir", "Hg", "Hg", "Cd"], "frac_coords": [[0.000, 0.000, 0.505], [0.000, 0.000, 0.995], [0.500, 0.500, 0.288], [0.500, 0.500, 0.712]], "dft_energy_ev_per_atom": -2.315, "spacegroup": "P4mm", "total_magnetization_mub_per_atom": 0.000, "e_form_ev_per_atom": 0.280, "de_polymorph_mev_per_atom": 80}

---

# 2
{"formula": "La2CrAg4", "functional": "PBE-GGA", "state": "optimized geometry", "lattice": [[5.033, 0.000, 0.000], [0.000, 5.033, 0.000], [2.517, 2.517, 7.765]], "species": ["Cr", "Ag", "Ag", "Ag", "Ag", "La", "La"], "frac_coords": [[0.000, 0.000, 0.000], [0.829, 0.829, 0.341], [0.171, 0.171, 0.659], [0.000, 0.500, 0.000], [0.500, 0.000, 0.000], [0.631, 0.631, 0.738], [0.369, 0.369, 0.262]], "dft_energy_ev_per_atom": -4.129, "spacegroup": "I4/mmm", "total_magnetization_mub_per_atom": 0.528, "e_form_ev_per_atom": 0.283}

---

# 3
{"formula": "Cs3Er3TmSe8", "functional": "PBE-GGA", "state": "optimized geometry", "lattice": [[-7.256, -0.906, 3.900], [5.649, -6.061, 0.297], [2.015, 7.831, 5.569]], "species": ["Cs", "Cs", "Cs", "Er", "Er", "Er", "Tm", "Se", "Se", "Se", "Se", "Se", "Se", "Se", "Se"], "frac_coords": [[0.000, 0.000, 0.000], [0.000, 0.500, 0.000], [0.500, 0.500, 0.000], [0.500, 0.000, 0.500], [0.500, 0.500, 0.500], [0.000, 0.500, 0.500], [0.000, 0.000, 0.500], [0.272, 0.544, 0.316], [0.728, 0.456, 0.684], [0.772, 0.545, 0.317], [0.228, 0.455, 0.683], [0.773, 0.045, 0.317], [0.227, 0.955, 0.683], [0.272, 0.045, 0.317], [0.728, 0.955, 0.683]], "dft_energy_ev_per_atom": -4.904, "spacegroup": "C2/m", "total_magnetization_mub_per_atom": 0.000, "raw_formation_energy_mev_per_atom": -1664}